Crystalline K4ZnBr6 at its relaxed geometry, computed with PBE-GGA.

```
data_K4ZnBr6
_chemical_formula_sum 'K16 Zn4 Br24'
_cell_length_a 15.826
_cell_length_b 8.324
_cell_length_c 15.499
_cell_angle_alpha 90.00
_cell_angle_beta 113.18
_cell_angle_gamma 90.00
_space_group_name_H-M_alt 'C 1 c 1'
_space_group_IT_number 9
loop_
_space_group_symop_operation_xyz
'x,y,z'
'x,-y,z+1/2'
'x+1/2,y+1/2,z'
'x+1/2,-y+1/2,z+1/2'
loop_
_atom_site_label
_atom_site_type_symbol
_atom_site_fract_x
_atom_site_fract_y
_atom_site_fract_z
_atom_site_occupancy
K1 K 0.000 0.135 0.000 1
K2 K 0.146 0.354 0.477 1
K3 K 0.270 0.208 0.830 1
K4 K 0.431 0.164 0.177 1
Zn1 Zn 0.209 0.259 0.235 1
Br1 Br 0.049 0.299 0.209 1
Br2 Br 0.097 0.299 0.878 1
Br3 Br 0.223 0.024 0.143 1
Br4 Br 0.285 0.482 0.193 1
Br5 Br 0.295 0.188 0.401 1
Br6 Br 0.463 0.262 0.996 1
```

As for the formation energy from raw total energies: -1.495 eV per atom. Its density of states at the Fermi level is 0.00 states/eV/f.u.

Crystalline CrAgPd6 at its relaxed geometry, computed with PBE-GGA.

```
data_CrAgPd6
_chemical_formula_sum 'Cr1 Ag1 Pd6'
_cell_length_a 3.951
_cell_length_b 3.951
_cell_length_c 7.902
_cell_angle_alpha 90.00
_cell_angle_beta 90.00
_cell_angle_gamma 90.00
_space_group_name_H-M_alt 'P 4/m m m'
_space_group_IT_number 123
_space_group_name_Hall '-P 4 2'
loop_
_atom_site_label
_atom_site_type_symbol
_atom_site_fract_x
_atom_site_fract_y
_atom_site_fract_z
_atom_site_occupancy
Cr1 Cr 0.000 0.000 0.000 1
Ag1 Ag 0.000 0.000 0.500 1
Pd1 Pd 0.000 0.500 0.240 1
Pd2 Pd 0.500 0.500 0.000 1
Pd3 Pd 0.500 0.500 0.500 1
```

Its density of states at the Fermi level is 13.19 states/eV/f.u. The formation energy from the elements is -44 meV per atom.

Crystalline Dy8Te3Se4 at its relaxed geometry, computed with PBE-GGA.

```
data_Dy8Te3Se4
_chemical_formula_sum 'Dy16 Te6 Se8'
_cell_length_a 11.818
_cell_length_b 11.842
_cell_length_c 8.352
_cell_angle_alpha 90.00
_cell_angle_beta 134.91
_cell_angle_gamma 90.00
_space_group_name_H-M_alt 'C 1 2/m 1'
_space_group_IT_number 12
loop_
_space_group_symop_operation_xyz
'x,y,z'
'-x,-y,-z'
'-x,y,-z'
'x,-y,z'
'x+1/2,y+1/2,z'
'-x+1/2,-y+1/2,-z'
'-x+1/2,y+1/2,-z'
'x+1/2,-y+1/2,z'
loop_
_atom_site_label
_atom_site_type_symbol
_atom_site_fract_x
_atom_site_fract_y
_atom_site_fract_z
_atom_site_occupancy
Dy1 Dy 0.000 0.234 0.000 1
Dy2 Dy 0.000 0.258 0.500 1
Dy3 Dy 0.245 0.000 0.012 1
Dy4 Dy 0.246 0.000 0.474 1
Te1 Te 0.000 0.500 0.000 1
Te2 Te 0.250 0.250 0.500 1
Se1 Se 0.000 0.000 0.000 1
Se2 Se 0.000 0.500 0.500 1
Se3 Se 0.250 0.250 0.000 1
```

As for the formation energy from raw total energies: -1.380 eV per atom. Its density of states at the Fermi level is 6.22 states/eV/f.u.

Crystalline Sc5Cu4Pt at its relaxed geometry, computed with PBE-GGA.

```
data_Sc5Cu4Pt
_chemical_formula_sum 'Sc5 Cu4 Pt1'
_cell_length_a 3.259
_cell_length_b 3.259
_cell_length_c 16.449
_cell_angle_alpha 90.00
_cell_angle_beta 90.00
_cell_angle_gamma 90.00
_space_group_name_H-M_alt 'P 4/m m m'
_space_group_IT_number 123
_space_group_name_Hall '-P 4 2'
loop_
_atom_site_label
_atom_site_type_symbol
_atom_site_fract_x
_atom_site_fract_y
_atom_site_fract_z
_atom_site_occupancy
Sc1 Sc 0.000 0.000 0.000 1
Sc2 Sc 0.000 0.000 0.200 1
Sc3 Sc 0.000 0.000 0.399 1
Cu1 Cu 0.500 0.500 0.099 1
Cu2 Cu 0.500 0.500 0.299 1
Pt1 Pt 0.500 0.500 0.500 1
```

Its density of states at the Fermi level is 4.77 states/eV/f.u. The formation energy from the elements is -481 meV per atom.

Crystalline Tc2BRu at its relaxed geometry, computed with PBE-GGA.

```
data_Tc2BRu
_chemical_formula_sum 'Tc8 B4 Ru4'
_cell_length_a 3.635
_cell_length_b 3.635
_cell_length_c 16.755
_cell_angle_alpha 90.00
_cell_angle_beta 90.00
_cell_angle_gamma 90.00
_space_group_name_H-M_alt 'I -4 2 d'
_space_group_IT_number 122
_space_group_name_Hall 'I -4 2bw'
loop_
_atom_site_label
_atom_site_type_symbol
_atom_site_fract_x
_atom_site_fract_y
_atom_site_fract_z
_atom_site_occupancy
Tc1 Tc 0.207 0.250 0.125 1
B1 B 0.000 0.000 0.000 1
Ru1 Ru 0.000 0.000 0.500 1
```

Its density of states at the Fermi level is 2.87 states/eV/f.u. The formation energy from the elements is 688 meV per atom. The distance to the lowest polymorph of the same formula is 910.1 meV/atom.

Crystalline Pm3Pr6Sm2 at its relaxed geometry, computed with PBE-GGA.

```
data_Pm3Pr6Sm2
_chemical_formula_sum 'Pm6 Pr12 Sm4'
_cell_length_a 4.832
_cell_length_b 4.832
_cell_length_c 34.592
_cell_angle_alpha 90.00
_cell_angle_beta 90.00
_cell_angle_gamma 90.00
_space_group_name_H-M_alt 'I 4/m m m'
_space_group_IT_number 139
_space_group_name_Hall '-I 4 2'
loop_
_atom_site_label
_atom_site_type_symbol
_atom_site_fract_x
_atom_site_fract_y
_atom_site_fract_z
_atom_site_occupancy
Pm1 Pm 0.000 0.000 0.000 1
Pm2 Pm 0.000 0.000 0.195 1
Pr1 Pr 0.000 0.000 0.294 1
Pr2 Pr 0.000 0.500 0.120 1
Sm1 Sm 0.000 0.000 0.455 1
```

Its density of states at the Fermi level is 16.66 states/eV/f.u. The formation energy from the elements is 265 meV per atom. The distance to the lowest polymorph of the same formula is 132.1 meV/atom.

> Number 1 is which compound?

K4ZnBr6